Computed, not measured: CaIn6Hg2 after structural relaxation at the PBE level of DFT.

Computed properties:
ΔE to the lowest computed polymorph in meV per atom: 39
Volume in Å³ per atom: 26.897
Calculated formation energy in eV/atom: -0.0912
Spin magnetization in Bohr magnetons per cell: 0.00
E in eV per atom: -2.206

POSCAR file:
```
CaIn6Hg2
1.0
7.305 -5.077 0.000
7.305 5.077 0.000
-0.680 0.000 3.264
Ca In Hg
1 6 2
Direct
0.000 0.000 0.000 Ca
0.031 0.342 0.687 In
0.305 0.695 0.500 In
0.342 0.031 0.687 In
0.658 0.969 0.313 In
0.695 0.305 0.500 In
0.969 0.658 0.313 In
0.370 0.370 0.871 Hg
0.630 0.630 0.129 Hg
```